## Ac6In2Pb (GGA-PBE)

Data for crystalline Ac6In2Pb at its relaxed geometry. Values from VASP.

Output
total energy: -35.9 eV/f.u.
calculated volume: 39.9 Å³/atom
ΔE_f: -0.23 eV/atom
energy relative to the lowest polymorph listed for this composition: 69.1 meV/atom

Cell and atoms, written as Quantum ESPRESSO input:
```
&SYSTEM
  ibrav = 0, nat = 18, ntyp = 3
/
ATOMIC_SPECIES
Ac 227.00 Ac.upf
In 114.82 In.upf
Pb 207.20 Pb.upf
CELL_PARAMETERS angstrom
6.758 0.000 0.554
0.000 9.857 0.000
-0.010 0.000 10.774
ATOMIC_POSITIONS crystal
Ac 0.885 0.964 0.206
Ac 0.895 0.665 0.564
Ac 0.917 0.679 0.940
Ac 0.583 0.179 0.560
Ac 0.605 0.165 0.936
Ac 0.615 0.464 0.294
Ac 0.115 0.036 0.794
Ac 0.105 0.335 0.436
Ac 0.083 0.321 0.060
Ac 0.417 0.821 0.440
Ac 0.395 0.835 0.064
Ac 0.385 0.536 0.706
In 0.920 0.375 0.754
In 0.580 0.875 0.746
In 0.420 0.125 0.254
In 0.080 0.625 0.246
Pb 0.500 0.500 0.000
Pb 0.000 0.000 0.500
```